Entry 1:
Entry from Alexandria: a relaxed KMg3Sn3 crystal (PBE-GGA).

Cell: 8.0432 8.0432 8.0432 Å, 90.00 90.00 90.00°
Fractional coordinates of all 14 atoms:
1 Sn 0.0000 0.5000 0.2500
2 K 0.0000 0.0000 0.0000
3 Mg 0.5000 0.0000 0.2500
4 Mg 0.2500 0.5000 0.0000
5 Mg 0.5000 0.0000 0.7500
6 Sn 0.2500 0.0000 0.5000
7 Sn 0.5000 0.2500 0.0000
8 K 0.5000 0.5000 0.5000
9 Sn 0.0000 0.5000 0.7500
10 Sn 0.5000 0.7500 0.0000
11 Mg 0.0000 0.2500 0.5000
12 Sn 0.7500 0.0000 0.5000
13 Mg 0.7500 0.5000 0.0000
14 Mg 0.0000 0.7500 0.5000

Calculated values
Mass density (g/cm³): 2.99
Relative energy among the computed polymorphs (meV per atom): 223
D(E_F) (states/eV per cell): 10.2
SG: Pm-3n (223)
Energy of formation (eV per formula unit): 1.04
Calculated total energy (eV/atom): -2.406



Entry 2:
Entry from Alexandria: a relaxed K3Mg2Sn3 crystal (PBE-GGA).

Cell: 4.6400 6.8124 19.5324 Å, 90.00 90.00 109.91°
Fractional coordinates of all 16 atoms:
1 K 0.4531 0.9063 0.7500
2 K 0.6304 0.2609 0.0422
3 Sn 0.8148 0.6296 0.2500
4 Mg 0.3037 0.6075 0.1563
5 Mg 0.3037 0.6075 0.3437
6 K 0.6304 0.2609 0.4578
7 K 0.5469 0.0937 0.2500
8 Sn 0.1852 0.3704 0.7500
9 K 0.3696 0.7391 0.9578
10 Sn 0.9246 0.8493 0.1103
11 Sn 0.9246 0.8493 0.3897
12 Mg 0.6963 0.3925 0.8437
13 Sn 0.0754 0.1507 0.8897
14 Mg 0.6963 0.3925 0.6563
15 K 0.3696 0.7391 0.5422
16 Sn 0.0754 0.1507 0.6103

Calculated values
Mass density (g/cm³): 2.99
D(E_F) (states/eV per cell): 1.9
SG: Cmcm (63)
Energy of formation (eV per formula unit): -1.00
Calculated total energy (eV/atom): -2.436



Entry 3:
Entry from Alexandria: a relaxed KMgTcSn2 crystal (PBE-GGA).

Cell: 5.1867 5.1867 5.2709 Å, 90.00 90.00 90.00°
Fractional coordinates of all 5 atoms:
1 Sn 0.5000 0.0000 0.0000
2 Sn 0.0000 0.5000 0.0000
3 Mg 0.0000 0.0000 0.5000
4 Tc 0.0000 0.0000 0.0000
5 K 0.5000 0.5000 0.5000

Calculated values
Mass density (g/cm³): 4.67
D(E_F) (states/eV per cell): 1.3
SG: P4/mmm (123)
Energy of formation (eV per formula unit): -0.18
Calculated total energy (eV/atom): -4.248



Entry 4:
Entry from Alexandria: a relaxed KMg2TcSn crystal (PBE-GGA).

Cell: 5.4790 5.4790 5.2919 Å, 90.00 90.00 90.00°
Fractional coordinates of all 5 atoms:
1 Mg 0.0000 0.5000 0.0000
2 K 0.5000 0.5000 0.5000
3 Mg 0.5000 0.0000 0.0000
4 Tc 0.0000 0.0000 0.5000
5 Sn 0.0000 0.0000 0.0000

Calculated values
Mass density (g/cm³): 3.18
D(E_F) (states/eV per cell): 4.0
SG: P4/mmm (123)
Energy of formation (eV per formula unit): 3.78
Calculated total energy (eV/atom): -2.975



Entry 5:
Entry from Alexandria: a relaxed KMg2SnTe crystal (PBE-GGA).

Cell: 5.8609 6.2446 5.8609 Å, 90.00 90.00 90.00°
Fractional coordinates of all 5 atoms:
1 K 0.0000 0.0000 0.0000
2 Sn 0.0000 0.5000 0.0000
3 Te 0.5000 0.5000 0.5000
4 Mg 0.0000 0.0000 0.5000
5 Mg 0.5000 0.0000 0.0000

Calculated values
Mass density (g/cm³): 2.59
D(E_F) (states/eV per cell): 2.6
SG: P4/mmm (123)
Calculated total energy (eV/atom): -1.314



Entry 6:
Entry from Alexandria: a relaxed K2MgSnTe crystal (PBE-GGA).

Cell: 6.4882 6.1281 6.4882 Å, 90.00 90.00 90.00°
Fractional coordinates of all 5 atoms:
1 Sn 0.0000 0.5000 0.0000
2 K 0.5000 0.0000 0.0000
3 Mg 0.5000 0.5000 0.5000
4 K 0.0000 0.0000 0.5000
5 Te 0.0000 0.0000 0.0000

Calculated values
Mass density (g/cm³): 2.25
D(E_F) (states/eV per cell): 5.1
SG: P4/mmm (123)
Calculated total energy (eV/atom): -2.171



Entry 7:
Entry from Alexandria: a relaxed KMgTiSn2 crystal (PBE-GGA).

Cell: 5.3731 5.5129 5.3731 Å, 90.00 90.00 90.00°
Fractional coordinates of all 5 atoms:
1 K 0.0000 0.5000 0.0000
2 Sn 0.5000 0.0000 0.0000
3 Mg 0.0000 0.0000 0.0000
4 Ti 0.5000 0.5000 0.5000
5 Sn 0.0000 0.0000 0.5000

Calculated values
Mass density (g/cm³): 3.64
D(E_F) (states/eV per cell): 3.3
SG: P4/mmm (123)
Energy of formation (eV per formula unit): 3.88
Calculated total energy (eV/atom): -2.942



Entry 8:
Entry from Alexandria: a relaxed K2MgTl6Sn crystal (PBE-GGA).

Cell: 11.1762 6.5194 7.8305 Å, 65.63 45.57 89.85°
Fractional coordinates of all 10 atoms:
1 Tl 0.8108 0.3119 0.8656
2 Mg 0.5000 0.5000 0.0000
3 Sn 0.0000 0.0000 0.0000
4 Tl 0.4325 0.2523 0.4975
5 K 0.2408 0.7316 0.5371
6 K 0.7592 0.2684 0.4629
7 Tl 0.5675 0.7477 0.5025
8 Tl 0.1914 0.1808 0.1346
9 Tl 0.8086 0.8192 0.8654
10 Tl 0.1892 0.6881 0.1344

Calculated values
Mass density (g/cm³): 7.21
D(E_F) (states/eV per cell): 4.9
SG: P-1 (2)
Energy of formation (eV per formula unit): -0.14
Calculated total energy (eV/atom): -2.213



Entry 9:
Entry from Alexandria: a relaxed KMgTlSn2 crystal (PBE-GGA).

Cell: 5.1097 5.1097 7.1457 Å, 110.95 110.95 90.00°
Fractional coordinates of all 5 atoms:
1 Sn 0.6163 0.6163 0.2326
2 Mg 0.7500 0.2500 0.5000
3 K 0.0000 0.0000 0.0000
4 Sn 0.3837 0.3837 0.7674
5 Tl 0.2500 0.7500 0.5000

Calculated values
Mass density (g/cm³): 5.21
D(E_F) (states/eV per cell): 2.3
SG: I-4m2 (119)
Energy of formation (eV per formula unit): -0.72
Calculated total energy (eV/atom): -2.756



Entry 10:
Entry from Alexandria: a relaxed K2Mg4TlSn3 crystal (PBE-GGA).

Cell: 4.8580 4.8580 12.7671 Å, 90.00 90.00 90.00°
Fractional coordinates of all 10 atoms:
1 Sn 0.0000 0.5000 0.1325
2 Tl 0.5000 0.5000 0.5000
3 Sn 0.0000 0.0000 0.5000
4 K 0.0000 0.5000 0.7575
5 Sn 0.5000 0.0000 0.8675
6 Mg 0.5000 0.0000 0.6437
7 Mg 0.0000 0.0000 0.0000
8 Mg 0.5000 0.5000 0.0000
9 Mg 0.0000 0.5000 0.3563
10 K 0.5000 0.0000 0.2425

Calculated values
Mass density (g/cm³): 4.06
D(E_F) (states/eV per cell): 6.6
SG: P-4m2 (115)
Energy of formation (eV per formula unit): -1.58
Calculated total energy (eV/atom): -2.453